(1)
Cu2TePb (PBE, optimized geometry); DOS(E_F) = 0.54 states/eV/atom; energy above the most stable polymorph in this dataset = 113 meV per atom; formation energy (no corrections) = 0.6 eV per formula unit; raw total energy = -3.614 eV per atom
1.0
3.3057 0.0000 0.0000
0.0000 3.3057 0.0000
0.0000 0.0000 8.1094
Cu Te Pb
2 1 1
direct
0.0000 0.0000 0.0000
0.5000 0.5000 0.1270
0.5000 0.5000 0.7904
0.0000 0.0000 0.3620

---

(2)
Cu2TePb (PBE, optimized geometry); DOS(E_F) = 0.31 states/eV/atom; energy above the most stable polymorph in this dataset = 0 meV per atom; formation energy (no corrections) = 0.1 eV per formula unit; raw total energy = -3.727 eV per atom
1.0
2.0717 1.1961 6.1610
-2.0717 1.1961 6.1610
0.0000 -2.3922 6.1610
Cu Te Pb
2 1 1
direct
0.0000 0.0000 0.0000
0.3006 0.3006 0.3006
0.5712 0.5712 0.5712
0.7530 0.7530 0.7530

---

(3)
Cu2TePb (PBE, optimized geometry); DOS(E_F) = 0.16 states/eV/atom; energy above the most stable polymorph in this dataset = 282 meV per atom; formation energy (no corrections) = 1.3 eV per formula unit; raw total energy = -3.445 eV per atom
1.0
0.0000 3.4768 3.4768
3.4768 0.0000 3.4768
3.4768 3.4768 0.0000
Cu Te Pb
2 1 1
direct
0.2500 0.2500 0.2500
0.7500 0.7500 0.7500
0.0000 0.0000 0.0000
0.5000 0.5000 0.5000

---

(4)
CuTePb2 (PBE, optimized geometry); DOS(E_F) = 0.75 states/eV/atom; formation energy (no corrections) = 0.6 eV per formula unit; raw total energy = -3.509 eV per atom
1.0
-3.2506 3.2506 6.7407
3.2506 -3.2506 6.7407
3.2506 3.2506 -6.7407
Cu Te Pb
2 2 4
direct
0.0000 0.0000 0.0000
0.7500 0.2500 0.5000
0.2500 0.7500 0.5000
0.5000 0.5000 0.0000
0.0633 0.6250 0.9383
0.3750 0.3133 0.4383
0.6867 0.1250 0.0617
0.8750 0.9367 0.5617

---

(5)
CuTePb2 (PBE, optimized geometry); DOS(E_F) = 0.42 states/eV/atom; formation energy (no corrections) = 0.3 eV per formula unit; raw total energy = -3.599 eV per atom
1.0
5.3505 -1.9678 0.0000
5.3505 1.9678 0.0000
-2.7623 0.0000 5.2458
Cu Te Pb
1 1 2
direct
0.0000 0.0000 0.0000
0.3589 0.3589 0.6918
0.5429 0.5429 0.3838
0.7250 0.7250 0.0409

---

(6)
CuTePb2 (PBE, optimized geometry); DOS(E_F) = 0.56 states/eV/atom; formation energy (no corrections) = 1.2 eV per formula unit; raw total energy = -3.363 eV per atom
1.0
0.0000 3.7774 3.7774
3.7774 0.0000 3.7774
3.7774 3.7774 0.0000
Cu Te Pb
1 1 2
direct
0.0000 0.0000 0.0000
0.7500 0.7500 0.7500
0.2500 0.2500 0.2500
0.5000 0.5000 0.5000

---

(7)
Cu2TePb (PBE, optimized geometry); DOS(E_F) = 0.47 states/eV/atom; energy above the most stable polymorph in this dataset = 232 meV per atom; formation energy (no corrections) = 1.1 eV per formula unit; raw total energy = -3.495 eV per atom
1.0
2.5486 -2.5916 0.0000
2.5486 2.5916 0.0000
0.0000 0.0000 6.4550
Cu Te Pb
2 1 1
direct
0.0000 0.0000 0.1992
0.0000 0.0000 0.8008
0.5000 0.5000 0.0000
0.5000 0.5000 0.5000

---

(8)
CuTePb (PBE, optimized geometry); DOS(E_F) = 0.31 states/eV/atom; energy above the most stable polymorph in this dataset = 190 meV per atom; formation energy (no corrections) = 0.3 eV per formula unit; raw total energy = -3.537 eV per atom
1.0
0.0000 2.8851 6.2150
2.1778 0.0000 6.2150
2.1778 2.8851 0.0000
Cu Te Pb
1 1 1
direct
0.0000 0.0000 0.0000
0.3866 0.3866 0.6134
0.6457 0.6457 0.3543